The following is a GGA-PBE calculation of an optimized crystal structure of ScCdAu, from the Alexandria database.

Structure (extended XYZ):
```
3
Lattice="0.000 3.276 3.276 3.276 0.000 3.276 3.276 3.276 0.000" Properties=species:S:1:pos:R:3 pbc="T T T"
Sc 0.000 0.000 0.000
Cd 3.276 3.276 3.276
Au 4.915 4.915 4.915
```

Computed properties:
- space-group type = F-43m (216)
- raw total energy (eV per atom) = -3.91
- V (Å³/atom) = 23.45
- E_form (meV/atom) = -403

=====

The following is a GGA-PBE calculation of an optimized crystal structure of Sc2CdAu, from the Alexandria database.

Structure (extended XYZ):
```
4
Lattice="5.374 -1.672 0.000 5.374 1.672 0.000 -1.563 0.000 4.724" Properties=species:S:1:pos:R:3 pbc="T T T"
Sc 0.000 0.000 0.000
Sc 1.342 0.000 3.163
Cd 7.880 0.000 0.925
Au 4.489 0.000 2.394
```

Computed properties:
- space-group type = Cm (8)
- raw total energy (eV per atom) = -4.63
- V (Å³/atom) = 21.22
- E_form (meV/atom) = -421

=====

The following is a GGA-PBE calculation of an optimized crystal structure of Sc2Cd2Au, from the Alexandria database.

Structure (extended XYZ):
```
5
Lattice="1.655 -10.110 0.000 1.655 10.110 0.000 0.000 0.000 3.300" Properties=species:S:1:pos:R:3 pbc="T T T"
Sc 1.655 8.343 0.000
Sc 1.655 -8.343 0.000
Cd 1.655 3.828 1.650
Cd 1.655 -3.828 1.650
Au 1.655 0.000 1.650
```

Computed properties:
- space-group type = Cmmm (65)
- raw total energy (eV per atom) = -3.93
- V (Å³/atom) = 22.10
- E_form (meV/atom) = -374

=====

The following is a GGA-PBE calculation of an optimized crystal structure of Sc2CdAu2, from the Alexandria database.

Structure (extended XYZ):
```
5
Lattice="-2.038 2.038 6.970 2.038 -2.038 6.970 2.038 2.038 -6.970" Properties=species:S:1:pos:R:3 pbc="T T T"
Sc 0.000 0.000 1.573
Sc 0.000 0.000 12.367
Cd 0.000 0.000 6.970
Au 2.038 0.000 3.485
Au 0.000 2.038 3.485
```

Computed properties:
- space-group type = I4/mmm (139)
- raw total energy (eV per atom) = -4.29
- V (Å³/atom) = 23.17
- E_form (meV/atom) = -261

=====

The following is a GGA-PBE calculation of an optimized crystal structure of ScCd2Au, from the Alexandria database.

Structure (extended XYZ):
```
4
Lattice="1.743 1.006 8.661 -1.743 1.006 8.661 0.000 -2.012 8.661" Properties=species:S:1:pos:R:3 pbc="T T T"
Sc 0.000 0.000 0.000
Cd 0.000 0.000 6.311
Cd 0.000 0.000 12.688
Au 0.000 0.000 19.200
```

Computed properties:
- space-group type = R3m (160)
- raw total energy (eV per atom) = -3.08
- V (Å³/atom) = 22.78
- E_form (meV/atom) = -222

=====

The following is a GGA-PBE calculation of an optimized crystal structure of Sc2CdAu, from the Alexandria database.

Structure (extended XYZ):
```
4
Lattice="3.504 0.000 0.000 0.000 4.868 0.000 0.000 0.000 4.868" Properties=species:S:1:pos:R:3 pbc="T T T"
Sc 0.000 0.000 0.000
Sc 0.000 2.434 2.423
Cd 1.752 0.000 2.439
Au 1.752 2.434 4.851
```

Computed properties:
- space-group type = Pmm2 (25)
- raw total energy (eV per atom) = -4.75
- V (Å³/atom) = 20.76
- E_form (meV/atom) = -534

=====

The following is a GGA-PBE calculation of an optimized crystal structure of ScCd5Au6, from the Alexandria database.

Structure (extended XYZ):
```
12
Lattice="4.338 -6.888 0.000 4.338 6.888 0.000 -2.483 0.000 3.923" Properties=species:S:1:pos:R:3 pbc="T T T"
Sc 0.000 0.000 0.000
Cd 3.096 4.561 1.961
Cd 4.338 2.291 0.000
Cd 3.096 0.000 1.961
Cd 4.338 -2.291 0.000
Cd 3.096 -4.561 1.961
Au 1.535 2.242 0.960
Au 0.239 0.000 2.896
Au 1.535 -2.242 0.960
Au 4.657 2.242 2.963
Au 5.952 0.000 1.027
Au 4.657 -2.242 2.963
```

Computed properties:
- space-group type = C2/m (12)
- raw total energy (eV per atom) = -2.84
- V (Å³/atom) = 19.53
- E_form (meV/atom) = -297

=====

The following is a GGA-PBE calculation of an optimized crystal structure of ScCdAu3, from the Alexandria database.

Structure (extended XYZ):
```
5
Lattice="5.171 0.000 0.000 0.000 5.171 0.000 0.000 0.000 5.171" Properties=species:S:1:pos:R:3 pbc="T T T"
Sc 0.000 0.000 0.000
Cd 2.585 2.585 2.585
Au 0.000 0.000 2.585
Au 0.000 2.585 0.000
Au 2.585 0.000 0.000
```

Computed properties:
- space-group type = Pm-3m (221)
- raw total energy (eV per atom) = -3.11
- V (Å³/atom) = 27.65
- E_form (meV/atom) = 309

=====

The following is a GGA-PBE calculation of an optimized crystal structure of ScCdAu, from the Alexandria database.

Structure (extended XYZ):
```
3
Lattice="-1.810 1.821 4.571 1.810 -1.821 4.571 1.810 1.821 -4.571" Properties=species:S:1:pos:R:3 pbc="T T T"
Sc 0.000 0.000 0.000
Cd 0.000 0.000 2.962
Au 0.000 0.000 6.013
```

Computed properties:
- space-group type = Imm2 (44)
- raw total energy (eV per atom) = -4.00
- V (Å³/atom) = 20.09
- E_form (meV/atom) = -493

=====

The following is a GGA-PBE calculation of an optimized crystal structure of Sc2CdAu, from the Alexandria database.

Structure (extended XYZ):
```
4
Lattice="1.672 0.965 9.352 -1.672 0.965 9.352 0.000 -1.930 9.352" Properties=species:S:1:pos:R:3 pbc="T T T"
Sc 0.000 0.000 0.000
Sc 0.000 0.000 6.753
Cd 0.000 0.000 13.675
Au 0.000 0.000 20.761
```

Computed properties:
- space-group type = R3m (160)
- raw total energy (eV per atom) = -4.42
- V (Å³/atom) = 22.63
- E_form (meV/atom) = -207

=====

The following is a GGA-PBE calculation of an optimized crystal structure of Sc2CdAu3, from the Alexandria database.

Structure (extended XYZ):
```
12
Lattice="4.794 0.000 0.000 -2.397 4.152 0.000 0.000 0.000 11.772" Properties=species:S:1:pos:R:3 pbc="T T T"
Sc 0.000 0.000 0.000
Sc 0.000 0.000 5.886
Sc 0.000 2.768 2.093
Sc 2.397 1.384 9.679
Cd 0.000 2.768 7.903
Cd 2.397 1.384 3.869
Au 0.000 0.000 2.846
Au 0.000 0.000 8.926
Au 0.000 2.768 4.967
Au 0.000 2.768 10.995
Au 2.397 1.384 0.776
Au 2.397 1.384 6.805
```

Computed properties:
- space-group type = P-3m1 (164)
- raw total energy (eV per atom) = -4.58
- V (Å³/atom) = 19.53
- E_form (meV/atom) = -677

=====

The following is a GGA-PBE calculation of an optimized crystal structure of ScCdAu2Se, from the Alexandria database.

Structure (extended XYZ):
```
5
Lattice="5.122 0.000 0.000 0.000 5.122 0.000 0.000 0.000 5.160" Properties=species:S:1:pos:R:3 pbc="T T T"
Sc 0.000 0.000 0.000
Cd 2.561 2.561 2.580
Au 0.000 2.561 2.580
Au 2.561 0.000 2.580
Se 2.561 2.561 0.000
```

Computed properties:
- space-group type = P4/mmm (123)
- raw total energy (eV per atom) = -3.14
- raw formation energy (meV per atom) = 317
- V (Å³/atom) = 27.07

=====

DOS(E_F) across the listed records, respectively: 3.82 4.41 4.63 4.41 2.51 3.49 3.69 2.10 1.58 3.60 5.96 5.10 states/eV/cell.